Compound: Na2TmPWO8
Source: the Alexandria database
Functional: PBE+U
Structure: relaxed

Properties
electronic total energy	-7.06	eV/atom
space-group type	Ibca

a b c (Å): 6.869 11.490 11.490
angles (deg): 63.73 72.61 72.61
Sites, in units of the cell vectors:
Na: 0.154 0.290 0.401
Na: 0.156 0.901 0.790
Na: 0.346 0.599 0.710
Na: 0.344 0.210 0.099
Na: 0.846 0.710 0.599
Na: 0.844 0.099 0.210
Na: 0.654 0.401 0.290
Na: 0.656 0.790 0.901
Tm: 0.250 0.322 0.678
Tm: 0.750 0.178 0.822
Tm: 0.750 0.678 0.322
Tm: 0.250 0.822 0.178
P: 0.750 0.931 0.069
P: 0.250 0.569 0.431
P: 0.250 0.069 0.931
P: 0.750 0.431 0.569
W: 0.324 0.926 0.426
W: 0.176 0.574 0.074
W: 0.676 0.074 0.574
W: 0.824 0.426 0.926
O: 0.826 0.940 0.925
O: 0.310 0.425 0.440
O: 0.674 0.075 0.060
O: 0.190 0.560 0.575
O: 0.174 0.060 0.075
O: 0.690 0.575 0.560
O: 0.326 0.925 0.940
O: 0.810 0.440 0.425
O: 0.580 0.845 0.143
O: 0.433 0.643 0.345
O: 0.920 0.857 0.155
O: 0.067 0.655 0.357
O: 0.420 0.155 0.857
O: 0.567 0.357 0.655
O: 0.080 0.143 0.845
O: 0.933 0.345 0.643
O: 0.596 0.843 0.395
O: 0.166 0.895 0.343
O: 0.904 0.605 0.157
O: 0.334 0.657 0.105
O: 0.404 0.157 0.605
O: 0.834 0.105 0.657
O: 0.096 0.395 0.843
O: 0.666 0.343 0.895
O: 0.226 0.858 0.602
O: 0.314 0.102 0.358
O: 0.274 0.398 0.142
O: 0.186 0.642 0.898
O: 0.774 0.142 0.398
O: 0.686 0.898 0.642
O: 0.726 0.602 0.858
O: 0.814 0.358 0.102